# CaTl2Ru (PBE, relaxed)
data_CaTl2Ru
_chemical_formula_sum 'Ca4 Tl8 Ru4'
_cell_length_a 4.489
_cell_length_b 4.489
_cell_length_c 20.467
_cell_angle_alpha 90.00
_cell_angle_beta 90.00
_cell_angle_gamma 90.00
_symmetry_space_group_name_H-M 'I -4 2 d'
_symmetry_Int_Tables_number 122
_symmetry_space_group_name_Hall 'I -4 2bw'
loop_
_atom_site_label
_atom_site_type_symbol
_atom_site_fract_x
_atom_site_fract_y
_atom_site_fract_z
_atom_site_occupancy
Ca1 Ca 0.000 0.000 0.000 1
Tl1 Tl 0.213 0.250 0.625 1
Ru1 Ru 0.000 0.000 0.500 1
# * crystal system: tetragonal
# * energy of formation: 1.8 eV/f.u.

=====

# TlPtRhAu (PBE, relaxed)
data_TlPtRhAu
_chemical_formula_sum 'Tl4 Pt4 Rh4 Au4'
_cell_length_a 6.539
_cell_length_b 6.539
_cell_length_c 6.539
_cell_angle_alpha 90.00
_cell_angle_beta 90.00
_cell_angle_gamma 90.00
_symmetry_space_group_name_H-M 'F -4 3 m'
_symmetry_Int_Tables_number 216
_symmetry_space_group_name_Hall 'F -4 2 3'
loop_
_atom_site_label
_atom_site_type_symbol
_atom_site_fract_x
_atom_site_fract_y
_atom_site_fract_z
_atom_site_occupancy
Tl1 Tl 0.000 0.000 0.000 1
Pt1 Pt 0.250 0.250 0.250 1
Rh1 Rh 0.250 0.250 0.750 1
Au1 Au 0.000 0.000 0.500 1
# * crystal system: cubic
# * energy of formation: 0.2 eV/f.u.

=====

# ScTaAs (PBE, relaxed)
data_ScTaAs
_chemical_formula_sum 'Sc4 Ta4 As4'
_cell_length_a 3.827
_cell_length_b 3.772
_cell_length_c 16.512
_cell_angle_alpha 90.00
_cell_angle_beta 90.00
_cell_angle_gamma 90.00
_symmetry_space_group_name_H-M 'A m m 2'
_symmetry_Int_Tables_number 38
_symmetry_space_group_name_Hall 'A 2 -2'
loop_
_atom_site_label
_atom_site_type_symbol
_atom_site_fract_x
_atom_site_fract_y
_atom_site_fract_z
_atom_site_occupancy
Sc1 Sc 0.000 0.000 0.000 1
Sc2 Sc 0.500 0.000 0.333 1
Ta1 Ta 0.000 0.000 0.190 1
Ta2 Ta 0.500 0.000 0.646 1
As1 As 0.000 0.000 0.812 1
As2 As 0.500 0.000 0.491 1
# * crystal system: orthorhombic
# * energy of formation: -1.8 eV/f.u.

=====

# FeAsP (PBE, relaxed)
data_FeAsP
_chemical_formula_sum 'Fe1 As1 P1'
_cell_length_a 3.9017
_cell_length_b 3.9017
_cell_length_c 3.3803
_cell_angle_alpha 90.00
_cell_angle_beta 90.00
_cell_angle_gamma 120.00
_symmetry_space_group_name_H-M 'P 3 m 1'
_symmetry_Int_Tables_number 156
_symmetry_space_group_name_Hall 'P 3 -2"'
loop_
_atom_site_label
_atom_site_type_symbol
_atom_site_fract_x
_atom_site_fract_y
_atom_site_fract_z
_atom_site_occupancy
Fe1 Fe 0.0000 0.0000 0.0000 1
As1 As 0.3333 0.6667 0.4976 1
P1 P 0.6667 0.3333 0.9991 1
# * crystal system: trigonal
# * energy of formation: 0.6 eV/f.u.

=====

# SrNdGa2 (PBE, relaxed)
data_SrNdGa2
_chemical_formula_sum 'Sr1 Nd1 Ga2'
_cell_length_a 3.775
_cell_length_b 3.775
_cell_length_c 7.688
_cell_angle_alpha 90.00
_cell_angle_beta 90.00
_cell_angle_gamma 90.00
_symmetry_space_group_name_H-M 'P 4/m m m'
_symmetry_Int_Tables_number 123
_symmetry_space_group_name_Hall '-P 4 2'
loop_
_atom_site_label
_atom_site_type_symbol
_atom_site_fract_x
_atom_site_fract_y
_atom_site_fract_z
_atom_site_occupancy
Sr1 Sr 0.000 0.000 0.000 1
Nd1 Nd 0.000 0.000 0.500 1
Ga1 Ga 0.500 0.500 0.271 1
# * crystal system: tetragonal
# * energy of formation: -1.8 eV/f.u.

=====

# Cu5SeS2 (PBE, relaxed)
data_Cu5SeS2
_chemical_formula_sum 'Cu10 Se2 S4'
_cell_length_a 3.780
_cell_length_b 3.780
_cell_length_c 18.924
_cell_angle_alpha 90.00
_cell_angle_beta 90.00
_cell_angle_gamma 90.00
_symmetry_space_group_name_H-M 'I 4/m m m'
_symmetry_Int_Tables_number 139
_symmetry_space_group_name_Hall '-I 4 2'
loop_
_atom_site_label
_atom_site_type_symbol
_atom_site_fract_x
_atom_site_fract_y
_atom_site_fract_z
_atom_site_occupancy
Cu1 Cu 0.000 0.000 0.000 1
Cu2 Cu 0.000 0.500 0.109 1
Se1 Se 0.000 0.000 0.500 1
S1 S 0.000 0.000 0.174 1
# * crystal system: tetragonal
# * formation energy without anion corrections: -0.0591 eV per atom

=====

# Ca4InHPb (PBE, relaxed)
data_Ca4InHPb
_chemical_formula_sum 'Ca16 In4 H4 Pb4'
_cell_length_a 6.603
_cell_length_b 18.181
_cell_length_c 6.597
_cell_angle_alpha 90.00
_cell_angle_beta 90.00
_cell_angle_gamma 90.00
_symmetry_space_group_name_H-M 'C m c m'
_symmetry_Int_Tables_number 63
_symmetry_space_group_name_Hall '-C 2c 2'
loop_
_atom_site_label
_atom_site_type_symbol
_atom_site_fract_x
_atom_site_fract_y
_atom_site_fract_z
_atom_site_occupancy
Ca1 Ca 0.000 0.066 0.250 1
Ca2 Ca 0.000 0.431 0.250 1
Ca3 Ca 0.250 0.250 0.000 1
In1 In 0.000 0.117 0.750 1
H1 H 0.000 0.259 0.250 1
Pb1 Pb 0.000 0.384 0.750 1
# * crystal system: orthorhombic

=====

# Mn2AlFe (PBE, relaxed)
data_Mn2AlFe
_chemical_formula_sum 'Mn4 Al2 Fe2'
_cell_length_a 4.952
_cell_length_b 8.311
_cell_length_c 2.518
_cell_angle_alpha 90.00
_cell_angle_beta 112.97
_cell_angle_gamma 90.00
_symmetry_space_group_name_H-M 'C 1 2/m 1'
_symmetry_Int_Tables_number 12
_symmetry_space_group_name_Hall '-C 2y'
loop_
_atom_site_label
_atom_site_type_symbol
_atom_site_fract_x
_atom_site_fract_y
_atom_site_fract_z
_atom_site_occupancy
Mn1 Mn 0.250 0.250 0.000 1
Al1 Al 0.000 0.000 0.500 1
Fe1 Fe 0.000 0.500 0.500 1
# * crystal system: monoclinic
# * energy of formation: 0.0 eV/f.u.

=====

# SmCo5B3 (PBE, relaxed)
data_SmCo5B3
_chemical_formula_sum 'Sm4 Co20 B12'
_cell_length_a 3.483
_cell_length_b 11.059
_cell_length_c 10.275
_cell_angle_alpha 90.00
_cell_angle_beta 90.00
_cell_angle_gamma 90.00
_symmetry_space_group_name_H-M 'C m c m'
_symmetry_Int_Tables_number 63
_symmetry_space_group_name_Hall '-C 2c 2'
loop_
_atom_site_label
_atom_site_type_symbol
_atom_site_fract_x
_atom_site_fract_y
_atom_site_fract_z
_atom_site_occupancy
Sm1 Sm 0.000 0.170 0.250 1
Co1 Co 0.000 0.000 0.000 1
Co2 Co 0.000 0.197 0.564 1
Co3 Co 0.000 0.452 0.141 1
B1 B 0.000 0.107 0.750 1
B2 B 0.000 0.375 0.536 1
# * crystal system: orthorhombic
# * energy of formation: -2.2 eV/f.u.

=====

# GdCd4Ga (PBE, relaxed)
data_GdCd4Ga
_chemical_formula_sum 'Gd4 Cd16 Ga4'
_cell_length_a 8.339
_cell_length_b 8.339
_cell_length_c 8.339
_cell_angle_alpha 90.00
_cell_angle_beta 90.00
_cell_angle_gamma 90.00
_symmetry_space_group_name_H-M 'F -4 3 m'
_symmetry_Int_Tables_number 216
_symmetry_space_group_name_Hall 'F -4 2 3'
loop_
_atom_site_label
_atom_site_type_symbol
_atom_site_fract_x
_atom_site_fract_y
_atom_site_fract_z
_atom_site_occupancy
Gd1 Gd 0.000 0.000 0.000 1
Cd1 Cd 0.125 0.125 0.375 1
Ga1 Ga 0.250 0.250 0.750 1
# * crystal system: cubic
# * energy of formation: -0.5 eV/f.u.

=====

# Ti6C3NO2 (PBE, relaxed)
data_Ti6C3NO2
_chemical_formula_sum 'Ti12 C6 N2 O4'
_cell_length_a 5.263
_cell_length_b 9.125
_cell_length_c 5.323
_cell_angle_alpha 90.00
_cell_angle_beta 109.22
_cell_angle_gamma 90.00
_symmetry_space_group_name_H-M 'C 1 2/m 1'
_symmetry_Int_Tables_number 12
_symmetry_space_group_name_Hall '-C 2y'
loop_
_atom_site_label
_atom_site_type_symbol
_atom_site_fract_x
_atom_site_fract_y
_atom_site_fract_z
_atom_site_occupancy
Ti1 Ti 0.233 0.000 0.240 1
Ti2 Ti 0.250 0.161 0.767 1
C1 C 0.000 0.168 0.000 1
C2 C 0.000 0.500 0.000 1
N1 N 0.000 0.000 0.500 1
O1 O 0.000 0.334 0.500 1
# * crystal system: monoclinic
# * formation energy without anion corrections: -1.6126 eV per atom

=====

# PaFeRe2 (PBE, relaxed)
data_PaFeRe2
_chemical_formula_sum 'Pa1 Fe1 Re2'
_cell_length_a 3.779
_cell_length_b 3.779
_cell_length_c 4.676
_cell_angle_alpha 90.00
_cell_angle_beta 90.00
_cell_angle_gamma 90.00
_symmetry_space_group_name_H-M 'P 4/m m m'
_symmetry_Int_Tables_number 123
_symmetry_space_group_name_Hall '-P 4 2'
loop_
_atom_site_label
_atom_site_type_symbol
_atom_site_fract_x
_atom_site_fract_y
_atom_site_fract_z
_atom_site_occupancy
Pa1 Pa 0.000 0.000 0.000 1
Fe1 Fe 0.500 0.500 0.000 1
Re1 Re 0.000 0.500 0.500 1
# * crystal system: tetragonal
# * energy of formation: 1.0 eV/f.u.

=====

| no. | E_tot (eV/cell) |
| --- | --- |
| 1 | -57.02 |
| 2 | -75.18 |
| 3 | -98.60 |
| 4 | -17.90 |
| 5 | -14.30 |
| 6 | -65.39 |
| 7 | -82.92 |
| 8 | -61.19 |
| 9 | -250.12 |
| 10 | -84.92 |
| 11 | -225.27 |
| 12 | -41.90 |